Record 1
Entry from the Alexandria database: crystalline Ce2PmTl at its relaxed geometry (PBE).

It has space group P2_1/m (No. 11), with a = 4.6507 Å, b = 4.3477 Å, c = 11.6522 Å, α = 90.00°, β = 99.14° and γ = 90.00°. The asymmetric unit holds Ce at (0.0009, 0.2500, 0.3903), Ce at (0.3847, 0.7500, 0.3854), Pm at (0.2994, 0.2500, 0.1074) and Tl at (0.1823, 0.2500, 0.8252).

The calculation puts the total energy at -4.910 eV/atom. For the energy relative to the lowest polymorph listed for this composition, the calculation gives 0 meV per atom. The spin magnetization is 0.00 Bohr magnetons per cell. The value obtained for the formation energy is -3.78 kcal/mol of atoms. The density is 8.989 g/cm3.

---

Record 2
Entry from the Alexandria database: crystalline NpSnTe3 at its relaxed geometry (PBE).

It has space group C2/m (No. 12), with a = 18.4215 Å, b = 4.5496 Å, c = 8.2700 Å, α = 90.00°, β = 102.87° and γ = 90.00°. The asymmetric unit holds Np at (0.2210, 0.0000, 0.2444), Sn at (0.0438, 0.5000, 0.6932), Te at (0.0398, 0.0000, 0.1793), Te at (0.1645, 0.5000, 0.9935) and Te at (0.1704, 0.0000, 0.5806).

The calculation puts the total energy at -5.678 eV/atom. For the energy relative to the lowest polymorph listed for this composition, the calculation gives 26 meV per atom. The spin magnetization is 15.38 Bohr magnetons per cell. The density is 7.260 g/cm3. Its uncorrected formation energy is -195 kJ/mol of formula units.